Entry 1:
DyEr2Ir9 after structural relaxation, computed with PBE.

a b c (Å): 5.2951 5.2951 9.2808
angles (deg): 73.42 73.42 60.00
With the nearest neighbours (Å) after each atom.
Element x y z (fractional)
Dy: 0.0000 0.0000 0.0000  18 Ir 3.06-3.42
Er: 0.8607 0.8607 0.4179  12 Ir 3.04-3.31, 3 Er 3.38
Er: 0.1393 0.1393 0.5821  12 Ir 3.04-3.31, 3 Er 3.38
Ir: 0.6670 0.6670 0.9989  6 Ir 2.65-2.66
Ir: 0.3330 0.3330 0.0011  6 Ir 2.65-2.66
Ir: 0.5000 0.5000 0.5000  6 Ir 2.69
Ir: 0.4176 0.4176 0.2474  7 Ir 2.65-2.69
Ir: 0.9174 0.4176 0.2474  7 Ir 2.65-2.69
Ir: 0.4176 0.9174 0.2474  7 Ir 2.65-2.69
Ir: 0.5824 0.5824 0.7526  7 Ir 2.65-2.69
Ir: 0.5824 0.0826 0.7526  7 Ir 2.65-2.69
Ir: 0.0826 0.5824 0.7526  7 Ir 2.65-2.69

DOS at the Fermi energy: 12.22 states/eV/f.u.
calculated total energy: -8.3842 eV/atom
size of the total moment: 0.0 μB/f.u.

Entry 2:
YTmSc5 after structural relaxation, computed with PBE.

a b c (Å): 5.0583 5.0583 7.7037
angles (deg): 90.00 90.00 90.00
With the nearest neighbours (Å) after each atom.
Element x y z (fractional)
Y: 0.0000 0.0000 0.5000  12 Sc 3.30-3.58
Tm: 0.5000 0.5000 0.0000  8 Sc 3.07
Sc: 0.0000 0.5000 0.7749  2 Tm 3.07, 2 Sc 3.30, 2 Y 3.30
Sc: 0.0000 0.5000 0.2251  2 Tm 3.07, 2 Sc 3.30, 2 Y 3.30
Sc: 0.5000 0.0000 0.7749  2 Tm 3.07, 2 Y 3.30, 2 Sc 3.30
Sc: 0.5000 0.0000 0.2251  2 Tm 3.07, 2 Y 3.30, 2 Sc 3.30
Sc: 0.5000 0.5000 0.5000  8 Sc 3.30, 4 Y 3.58

DOS at the Fermi energy: 11.60 states/eV/f.u.
calculated total energy: -5.7120 eV/atom
size of the total moment: 0.0 μB/f.u.

Entry 3:
NdEr10Th4 after structural relaxation, computed with PBE.

a b c (Å): 10.7374 8.6628 8.6628
angles (deg): 67.41 51.70 51.70
With the nearest neighbours (Å) after each atom.
Element x y z (fractional)
Nd: 0.0000 0.0000 0.0000  4 Th 3.32
Er: 0.2500 0.5000 0.5000  4 Er 3.14, 4 Th 3.16
Er: 0.5411 0.3284 0.9034  5 Er 3.14-3.37
Er: 0.1305 0.0966 0.3284  5 Er 3.14-3.37
Er: 0.5554 0.9034 0.6716  5 Er 3.14-3.37
Er: 0.7730 0.6716 0.0966  5 Er 3.14-3.37
Er: 0.4589 0.6716 0.0966  5 Er 3.14-3.37
Er: 0.7500 0.5000 0.5000  4 Er 3.14, 4 Th 3.16
Er: 0.2270 0.3284 0.9034  5 Er 3.14-3.37
Er: 0.4446 0.0966 0.3284  5 Er 3.14-3.37
Er: 0.8695 0.9034 0.6716  5 Er 3.14-3.37
Th: 0.3387 0.7271 0.5955  4 Er 3.16-3.53, 1 Nd 3.32, 1 Th 3.35
Th: 0.9342 0.4045 0.7271  4 Er 3.16-3.53, 1 Nd 3.32, 1 Th 3.35
Th: 0.0658 0.5955 0.2729  4 Er 3.16-3.53, 1 Nd 3.32, 1 Th 3.35
Th: 0.6613 0.2729 0.4045  4 Er 3.16-3.53, 1 Nd 3.32, 1 Th 3.35

DOS at the Fermi energy: 24.20 states/eV/f.u.
calculated total energy: -4.9555 eV/atom
size of the total moment: 0.0 μB/f.u.

Entry 4:
CsHo2NpO8 after structural relaxation, computed with PBE.

a b c (Å): 5.1190 5.1214 7.8380
angles (deg): 89.98 89.97 89.88
With the nearest neighbours (Å) after each atom.
Element x y z (fractional)
Cs: 0.0000 0.0000 0.5000  6 O 2.85-2.86
Ho: 0.4999 0.4999 0.7846  6 O 2.23-2.36
Ho: 0.5001 0.5001 0.2154  6 O 2.23-2.36
Np: 0.0000 0.0000 0.0000  6 O 1.97-2.16
O: 0.1891 0.8096 0.1806  1 Np 1.97
O: 0.7010 0.7018 0.9999  1 Np 2.16, 2 Ho 2.23
O: 0.8104 0.1899 0.1806  1 Np 1.97
O: 0.8109 0.1904 0.8194  1 Np 1.97
O: 0.2990 0.2982 0.0001  1 Np 2.16, 2 Ho 2.23
O: 0.1896 0.8101 0.8194  1 Np 1.97
O: 0.6051 0.6050 0.4999  1 O 1.52
O: 0.3949 0.3950 0.5001  1 O 1.52

DOS at the Fermi energy: 2.41 states/eV/f.u.
calculated total energy: -7.8227 eV/atom
size of the total moment: 0.0 μB/f.u.
raw formation energy: -2605 meV/atom